First-principles (PBE-GGA) data for a relaxed LaEr6Cd2 crystal, as listed in the Alexandria database.

Results
* calculated volume: 29.48 A^3/atom
* density of states at the Fermi level: 1.2182 states/eV per atom
* symmetry: C2/m (12)
* formation enthalpy at 0 K: -0.121 eV per atom
* theoretical density: 8.56 g/cm³

Unit cell a=3.7095 b=6.5962 c=11.7563 alpha=74.82 beta=80.92 gamma=73.67
Sites, in units of the cell vectors:
1 Er 0.3143 0.4969 0.8745
2 Er 0.0136 0.3162 0.6566
3 La 0.0000 0.0000 0.0000
4 Er 0.6861 0.2082 0.4195
5 Cd 0.3475 0.0818 0.2231
6 Er 0.3139 0.7918 0.5805
7 Cd 0.6525 0.9182 0.7769
8 Er 0.6857 0.5031 0.1255
9 Er 0.9864 0.6838 0.3434


First-principles (PBE-GGA) data for a relaxed LaCd2BiO6 crystal, as listed in the Alexandria database.

Results
* calculated volume: 14.98 A^3/atom
* ΔE_f (raw): -1.579 eV per atom
* symmetry: P2_1/c (14)
* theoretical density: 7.41 g/cm³

Unit cell a=5.8720 b=5.9771 c=8.5368 alpha=90.00 beta=90.15 gamma=90.00
Sites, in units of the cell vectors:
1 O 0.8378 0.7983 0.9099
2 O 0.1622 0.2017 0.0901
3 Cd 0.4980 0.5324 0.7649
4 O 0.1252 0.3970 0.7710
5 O 0.1872 0.1642 0.4541
6 O 0.3748 0.8970 0.7290
7 O 0.6872 0.3358 0.9541
8 La 0.0000 0.5000 0.5000
9 Cd 0.9980 0.9676 0.2649
10 Cd 0.5020 0.4676 0.2351
11 O 0.8128 0.8358 0.5459
12 O 0.6622 0.2983 0.5901
13 O 0.3378 0.7017 0.4099
14 Bi 0.0000 0.5000 0.0000
15 O 0.6252 0.1030 0.2710
16 Bi 0.5000 0.0000 0.5000
17 O 0.8748 0.6030 0.2290
18 La 0.5000 0.0000 0.0000
19 Cd 0.0020 0.0324 0.7351
20 O 0.3128 0.6642 0.0459


First-principles (PBE-GGA) data for a relaxed Ta2MnAl crystal, as listed in the Alexandria database.

Results
* calculated volume: 15.62 A^3/atom
* density of states at the Fermi level: 0.5183 states/eV per atom
* symmetry: Imm2 (44)
* formation enthalpy at 0 K: -0.142 eV per atom
* theoretical density: 11.79 g/cm³

Unit cell a=5.2628 b=5.2628 c=4.4673 alpha=64.90 beta=64.90 gamma=34.31
Sites, in units of the cell vectors:
1 Mn 0.2546 0.2546 0.2454
2 Al 0.5255 0.5255 0.4745
3 Ta 0.7435 0.7435 0.7566
4 Ta 0.9764 0.9764 0.0235


First-principles (PBE-GGA) data for a relaxed SmTmHf crystal, as listed in the Alexandria database.

Results
* calculated volume: 27.92 A^3/atom
* density of states at the Fermi level: 1.0517 states/eV per atom
* symmetry: P3m1 (156)
* formation enthalpy at 0 K: 0.139 eV per atom
* theoretical density: 9.87 g/cm³

Unit cell a=3.3917 b=3.3917 c=8.4073 alpha=90.00 beta=90.00 gamma=120.00
Sites, in units of the cell vectors:
1 Hf 0.6667 0.3333 0.3362
2 Sm 0.0000 0.0000 0.0189
3 Tm 0.3333 0.6667 0.6450


First-principles (PBE-GGA) data for a relaxed TiAgSe4 crystal, as listed in the Alexandria database.

Results
* calculated volume: 24.68 A^3/atom
* ΔE_f (raw): -0.485 eV per atom
* density of states at the Fermi level: 0.1358 states/eV per atom
* symmetry: P-1 (2)
* theoretical density: 5.29 g/cm³

Unit cell a=6.4766 b=7.1342 c=7.1396 alpha=109.41 beta=100.07 gamma=100.32
Sites, in units of the cell vectors:
1 Se 0.9665 0.7231 0.8533
2 Se 0.5316 0.1453 0.2768
3 Ag 0.2571 0.4515 0.5462
4 Se 0.0323 0.1427 0.6507
5 Ag 0.7429 0.5485 0.4538
6 Ti 0.2498 0.0505 0.9486
7 Ti 0.7502 0.9495 0.0514
8 Se 0.5259 0.6515 0.1405
9 Se 0.4741 0.3485 0.8595
10 Se 0.9677 0.8573 0.3493
11 Se 0.4684 0.8547 0.7232
12 Se 0.0335 0.2768 0.1467


First-principles (PBE-GGA) data for a relaxed Sr3CdSn crystal, as listed in the Alexandria database.

Results
* calculated volume: 38.68 A^3/atom
* density of states at the Fermi level: 0.7592 states/eV per atom
* symmetry: P2_1/c (14)
* formation enthalpy at 0 K: -0.401 eV per atom
* theoretical density: 4.24 g/cm³

Unit cell a=8.8793 b=10.0487 c=10.0537 alpha=120.41 beta=90.00 gamma=90.00
Sites, in units of the cell vectors:
1 Sr 0.2488 0.5516 0.9464
2 Sr 0.8757 0.8699 0.1338
3 Sr 0.0009 0.2935 0.2923
4 Sr 0.7488 0.9484 0.5536
5 Sn 0.2818 0.4400 0.5593
6 Cd 0.5118 0.8222 0.1725
7 Sn 0.7182 0.5600 0.4407
8 Sr 0.9991 0.7065 0.7077
9 Sr 0.7512 0.4484 0.0536
10 Sr 0.6243 0.3699 0.6338
11 Sr 0.5009 0.2065 0.2077
12 Sr 0.3757 0.6301 0.3662
13 Sn 0.7818 0.0600 0.9407
14 Cd 0.9882 0.3222 0.6725
15 Sr 0.2512 0.0516 0.4464
16 Cd 0.4882 0.1778 0.8275
17 Sn 0.2182 0.9400 0.0593
18 Sr 0.1243 0.1301 0.8662
19 Sr 0.4991 0.7935 0.7923
20 Cd 0.0118 0.6778 0.3275


First-principles (PBE-GGA) data for a relaxed LiHgPb2 crystal, as listed in the Alexandria database.

Results
* calculated volume: 26.16 A^3/atom
* density of states at the Fermi level: 0.3418 states/eV per atom
* symmetry: Pmm2 (25)
* formation enthalpy at 0 K: -0.115 eV per atom
* theoretical density: 9.87 g/cm³

Unit cell a=3.5651 b=4.3322 c=6.7761 alpha=90.00 beta=90.00 gamma=90.00
Sites, in units of the cell vectors:
1 Pb 0.5000 0.5000 0.2591
2 Pb 0.0000 0.0000 0.9890
3 Li 0.5000 0.5000 0.7249
4 Hg 0.0000 0.0000 0.5270


First-principles (PBE-GGA) data for a relaxed RbMnS2Br crystal, as listed in the Alexandria database.

Results
* calculated volume: 35.47 A^3/atom
* ΔE_f (raw): 1.021 eV per atom
* density of states at the Fermi level: 0.7005 states/eV per atom
* symmetry: P4/mmm (123)
* theoretical density: 2.66 g/cm³

Unit cell a=5.3912 b=6.1022 c=5.3912 alpha=90.00 beta=90.00 gamma=90.00
Each line ends with the local moment (μB).
Sites, in units of the cell vectors:
1 S 0.0000 0.0000 0.5000  0.04
2 Rb 0.0000 0.0000 0.0000  0.02
3 Mn 0.5000 0.5000 0.5000  4.64
4 S 0.5000 0.0000 0.0000  0.04
5 Br 0.0000 0.5000 0.0000  0.02


First-principles (PBE-GGA) data for a relaxed Cs2TiAg crystal, as listed in the Alexandria database.

Results
* calculated volume: 47.86 A^3/atom
* density of states at the Fermi level: 4.4490 states/eV per atom
* symmetry: Fm-3m (225)
* formation enthalpy at 0 K: 0.992 eV per atom
* theoretical density: 3.66 g/cm³

Unit cell a=6.4692 b=6.4692 c=6.4692 alpha=60.00 beta=60.00 gamma=60.00
Each line ends with the local moment (μB).
Sites, in units of the cell vectors:
1 Ti 0.0000 0.0000 0.0000  2.07
2 Ag 0.5000 0.5000 0.5000  -0.01
3 Cs 0.7500 0.7500 0.7500  0.02
4 Cs 0.2500 0.2500 0.2500  0.02


First-principles (PBE-GGA) data for a relaxed FeTeOs2 crystal, as listed in the Alexandria database.

Results
* calculated volume: 16.78 A^3/atom
* ΔE_f (raw): 0.963 eV per atom
* density of states at the Fermi level: 1.3013 states/eV per atom
* symmetry: Cmm2 (35)
* theoretical density: 13.95 g/cm³

Unit cell a=2.8647 b=2.8647 c=9.3570 alpha=90.00 beta=90.00 gamma=119.08
Each line ends with the local moment (μB).
Sites, in units of the cell vectors:
1 Fe 0.5000 0.5000 0.7728  2.76
2 Os 0.5000 0.5000 0.2246  -0.22
3 Te 0.0000 0.0000 0.5082  0.01
4 Os 0.0000 0.0000 0.9944  0.36


First-principles (PBE-GGA) data for a relaxed HfSnS3 crystal, as listed in the Alexandria database.

Results
* calculated volume: 24.13 A^3/atom
* ΔE_f (raw): -0.801 eV per atom
* density of states at the Fermi level: 0.0000 states/eV per atom
* symmetry: Pm-3m (221)
* theoretical density: 5.42 g/cm³

Unit cell a=4.9410 b=4.9410 c=4.9410 alpha=90.00 beta=90.00 gamma=90.00
Sites, in units of the cell vectors:
1 S 0.0000 0.0000 0.5000
2 S 0.5000 0.0000 0.0000
3 S 0.0000 0.5000 0.0000
4 Hf 0.0000 0.0000 0.0000
5 Sn 0.5000 0.5000 0.5000